Record 1
VASP calculation (GGA-PBE) on an optimized crystal structure of Ba5RhAu.

a = 7.8490 Å, b = 7.8490 Å, c = 12.0976 Å
α = 105.77°, β = 105.77°, γ = 81.42°
Last column: nearest neighbours and their distance in Å.
Element x y z (fractional)
Au 0.0663 0.4337 0.7500  5 Ba 3.23-3.36
Au 0.9337 0.5663 0.2500  5 Ba 3.23-3.36
Ba 0.4254 0.2812 0.6403  1 Rh 2.93
Ba 0.2582 0.2418 0.2500  1 Au 3.32, 2 Rh 3.40
Ba 0.2235 0.6562 0.0171  1 Rh 3.02, 1 Au 3.23
Ba 0.2188 0.0746 0.8597  1 Rh 2.93
Ba 0.1562 0.7235 0.5171  1 Rh 3.02, 1 Au 3.23
Ba 0.7812 0.9254 0.1403  1 Rh 2.93
Ba 0.7418 0.7582 0.7500  1 Au 3.32, 2 Rh 3.40
Ba 0.8438 0.2765 0.4829  1 Rh 3.02, 1 Au 3.23
Ba 0.7765 0.3438 0.9829  1 Rh 3.02, 1 Au 3.23
Ba 0.5746 0.7188 0.3597  1 Rh 2.93
Rh 0.0000 0.0000 0.0000  4 Ba 2.93-3.02
Rh 0.5000 0.5000 0.5000  4 Ba 2.93-3.02

## Properties
symmetry: No. 15
formation energy: -0.263 eV per atom
DOS at the Fermi energy: 4.5 states/eV/f.u.
DFT total energy: -3.155 eV/atom



Record 2
VASP calculation (GGA-PBE) on an optimized crystal structure of BaRh2Au.

a = 4.9299 Å, b = 4.9299 Å, c = 4.9299 Å
α = 60.00°, β = 60.00°, γ = 60.00°
Last column: nearest neighbours and their distance in Å.
Element x y z (fractional)
Rh 0.7500 0.7500 0.7500  4 Rh 3.02, 4 Au 3.02
Rh 0.0000 0.0000 0.0000  4 Ba 3.02, 4 Rh 3.02
Ba 0.2500 0.2500 0.2500  4 Au 3.02, 4 Rh 3.02
Au 0.5000 0.5000 0.5000  4 Rh 3.02, 4 Ba 3.02

## Properties
symmetry: No. 216
formation energy: 0.329 eV per atom
DOS at the Fermi energy: 6.8 states/eV/f.u.
DFT total energy: -4.647 eV/atom